A | Computed, not measured: TmTh2In after structural relaxation at the GGA-PBE level of DFT.

Unit cell a=5.535 b=5.535 c=5.535 alpha=60.00 beta=60.00 gamma=60.00
Atoms (fractional coordinates):
Tm1 0.000 0.000 0.000
Th1 0.250 0.250 0.250
Th2 0.750 0.750 0.750
In1 0.500 0.500 0.500



B | Computed, not measured: TmTh2In after structural relaxation at the GGA-PBE level of DFT.

Unit cell a=4.705 b=4.688 c=11.428 alpha=90.00 beta=101.93 gamma=90.00
Atoms (fractional coordinates):
Tm1 0.194 0.250 0.387
Tm2 0.806 0.750 0.613
Th1 0.063 0.750 0.124
Th2 0.438 0.750 0.877
Th3 0.562 0.250 0.123
Th4 0.937 0.250 0.876
In1 0.330 0.250 0.661
In2 0.670 0.750 0.339



C | Computed, not measured: TmTh2In after structural relaxation at the GGA-PBE level of DFT.

Unit cell a=4.206 b=4.206 c=6.889 alpha=90.00 beta=90.00 gamma=90.00
Atoms (fractional coordinates):
Tm1 0.000 0.000 0.000
Th1 0.500 0.500 0.264
Th2 0.500 0.500 0.736
In1 0.000 0.000 0.500



Stability summary - winner: B; margin: 46 meV/atom.



A | Computed, not measured: TmThIn after structural relaxation at the GGA-PBE level of DFT.

Unit cell a=5.448 b=5.448 c=6.637 alpha=90.00 beta=90.00 gamma=120.00
Atoms (fractional coordinates):
Tm1 0.333 0.667 0.250
Tm2 0.667 0.333 0.750
Th1 0.000 0.000 0.000
Th2 0.000 0.000 0.500
In1 0.333 0.667 0.750
In2 0.667 0.333 0.250



B | Computed, not measured: TmThIn after structural relaxation at the GGA-PBE level of DFT.

Unit cell a=5.310 b=5.310 c=3.616 alpha=90.00 beta=90.00 gamma=120.00
Atoms (fractional coordinates):
Tm1 0.000 0.000 0.000
Th1 0.667 0.333 0.458
In1 0.333 0.667 0.845



Stability summary - winner: A; margin: 187 meV/atom.



A | Computed, not measured: Tm2Th2In3 after structural relaxation at the GGA-PBE level of DFT.

Unit cell a=12.534 b=12.534 c=3.423 alpha=90.00 beta=90.00 gamma=158.53
Atoms (fractional coordinates):
Tm1 0.204 0.796 0.000
Tm2 0.796 0.204 0.000
Th1 0.072 0.928 0.000
Th2 0.928 0.072 0.000
In1 0.348 0.652 0.500
In2 0.500 0.500 0.500
In3 0.652 0.348 0.500



B | Computed, not measured: Tm2Th2In3 after structural relaxation at the GGA-PBE level of DFT.

Unit cell a=6.451 b=6.451 c=8.994 alpha=109.32 beta=109.32 gamma=35.23
Atoms (fractional coordinates):
Tm1 0.123 0.123 0.313
Tm2 0.877 0.877 0.687
Th1 0.381 0.381 0.048
Th2 0.619 0.619 0.952
In1 0.175 0.175 0.692
In2 0.500 0.500 0.500
In3 0.825 0.825 0.308



Stability summary - winner: A; margin: 16 meV/atom.



A | Computed, not measured: Tm2ThIn after structural relaxation at the GGA-PBE level of DFT.

Unit cell a=3.547 b=3.547 c=9.011 alpha=90.00 beta=90.00 gamma=90.00
Atoms (fractional coordinates):
Tm1 0.000 0.000 0.231
Tm2 0.000 0.000 0.769
Th1 0.500 0.500 0.500
In1 0.500 0.500 0.000



B | Computed, not measured: Tm2ThIn after structural relaxation at the GGA-PBE level of DFT.

Unit cell a=4.879 b=4.879 c=4.773 alpha=90.00 beta=90.00 gamma=90.00
Atoms (fractional coordinates):
Tm1 0.000 0.500 0.000
Tm2 0.500 0.000 0.000
Th1 0.000 0.000 0.500
In1 0.500 0.500 0.500



C | Computed, not measured: Tm2ThIn after structural relaxation at the GGA-PBE level of DFT.

Unit cell a=11.101 b=11.101 c=11.101 alpha=18.27 beta=18.27 gamma=18.27
Atoms (fractional coordinates):
Tm1 0.000 0.000 0.000
Tm2 0.178 0.178 0.178
Th1 0.756 0.756 0.756
In1 0.589 0.589 0.589



Stability summary - winner: A; margin: 45 meV/atom.



A | Computed, not measured: Tm2ThIn after structural relaxation at the GGA-PBE level of DFT.

Unit cell a=10.973 b=10.973 c=10.973 alpha=18.49 beta=18.49 gamma=18.49
Atoms (fractional coordinates):
Tm1 0.247 0.247 0.247
Tm2 0.753 0.753 0.753
Th1 0.000 0.000 0.000
In1 0.500 0.500 0.500



B | Computed, not measured: Tm2ThIn after structural relaxation at the GGA-PBE level of DFT.

Unit cell a=5.427 b=5.427 c=5.427 alpha=60.00 beta=60.00 gamma=60.00
Atoms (fractional coordinates):
Tm1 0.250 0.250 0.250
Tm2 0.750 0.750 0.750
Th1 0.000 0.000 0.000
In1 0.500 0.500 0.500



Stability summary - winner: A; margin: 154 meV/atom.



A | Computed, not measured: Tm3ThIn after structural relaxation at the GGA-PBE level of DFT.

Unit cell a=12.698 b=12.698 c=4.789 alpha=90.00 beta=90.00 gamma=157.96
Atoms (fractional coordinates):
Tm1 0.049 0.951 0.750
Tm2 0.251 0.749 0.750
Tm3 0.447 0.553 0.750
Tm4 0.553 0.447 0.250
Tm5 0.749 0.251 0.250
Tm6 0.951 0.049 0.250
Th1 0.150 0.850 0.250
Th2 0.850 0.150 0.750
In1 0.349 0.651 0.250
In2 0.651 0.349 0.750



B | Computed, not measured: Tm3ThIn after structural relaxation at the GGA-PBE level of DFT.

Unit cell a=9.475 b=5.473 c=11.510 alpha=90.00 beta=91.63 gamma=90.00
Atoms (fractional coordinates):
Tm1 0.035 0.002 0.355
Tm2 0.035 0.498 0.855
Tm3 0.261 0.501 0.355
Tm4 0.261 0.999 0.855
Tm5 0.398 0.001 0.237
Tm6 0.398 0.499 0.737
Tm7 0.602 0.501 0.263
Tm8 0.602 0.999 0.763
Tm9 0.739 0.001 0.145
Tm10 0.739 0.499 0.645
Tm11 0.965 0.502 0.145
Tm12 0.965 0.998 0.645
Th1 0.334 0.501 0.045
Th2 0.334 0.999 0.545
Th3 0.666 0.001 0.455
Th4 0.666 0.499 0.955
In1 0.115 0.002 0.092
In2 0.115 0.498 0.592
In3 0.885 0.502 0.408
In4 0.885 0.998 0.908



Stability summary - winner: A; margin: 66 meV/atom.



A | Computed, not measured: Tm4ThIn after structural relaxation at the GGA-PBE level of DFT.

Unit cell a=8.743 b=8.743 c=8.743 alpha=98.64 beta=98.64 gamma=134.39
Atoms (fractional coordinates):
Tm1 0.242 0.000 0.242
Tm2 0.249 0.504 0.255
Tm3 0.249 0.993 0.745
Tm4 0.254 0.499 0.755
Tm5 0.743 0.499 0.245
Tm6 0.750 0.008 0.258
Tm7 0.750 0.492 0.742
Tm8 0.758 0.000 0.758
Th1 0.591 0.091 0.500
Th2 0.841 0.841 0.000
In1 0.087 0.587 0.500
In2 0.337 0.337 0.000



B | Computed, not measured: Tm4ThIn after structural relaxation at the GGA-PBE level of DFT.

Unit cell a=3.546 b=3.546 c=13.982 alpha=90.00 beta=90.00 gamma=90.00
Atoms (fractional coordinates):
Tm1 0.000 0.000 0.147
Tm2 0.000 0.000 0.853
Tm3 0.500 0.500 0.327
Tm4 0.500 0.500 0.673
Th1 0.000 0.000 0.500
In1 0.500 0.500 0.000



Stability summary - winner: B; margin: 717 meV/atom.



A | Computed, not measured: Th2UIn after structural relaxation at the GGA-PBE level of DFT.

Unit cell a=11.279 b=11.279 c=11.279 alpha=17.61 beta=17.61 gamma=17.61
Atoms (fractional coordinates):
Th1 0.249 0.249 0.249
Th2 0.751 0.751 0.751
U1 0.500 0.500 0.500
In1 0.000 0.000 0.000



B | Computed, not measured: Th2UIn after structural relaxation at the GGA-PBE level of DFT.

Unit cell a=4.962 b=4.962 c=4.578 alpha=90.00 beta=90.00 gamma=90.00
Atoms (fractional coordinates):
Th1 0.000 0.500 0.000
Th2 0.500 0.000 0.000
U1 0.000 0.000 0.500
In1 0.500 0.500 0.500



C | Computed, not measured: Th2UIn after structural relaxation at the GGA-PBE level of DFT.

Unit cell a=3.982 b=3.982 c=7.056 alpha=90.00 beta=90.00 gamma=90.00
Atoms (fractional coordinates):
Th1 0.000 0.000 0.244
Th2 0.000 0.000 0.756
U1 0.500 0.500 0.000
In1 0.500 0.500 0.500



Stability summary - winner: B; margin: 62 meV/atom.